First-principles (GGA-PBE) data for MgTaPd3 after structural relaxation, as listed in Alexandria via LeMat-Bulk.

Computed properties:
Energy above the most stable polymorph in this dataset: 0 meV per atom
Spin magnetization: 0.00 μB per cell
DOS(E_F): 4.3 states/eV per cell
Calculated formation energy: 0.592 eV/atom

a b c (Å): 4.856 4.856 4.856
angles (deg): 90.00 90.00 90.00
Space group Pm-3m (No. 221)
Asymmetric unit:
1 Mg 0.000 0.000 0.000 [1 per cell]
2 Ta 0.500 0.500 0.500 [1 per cell]
3 Pd 0.000 0.500 0.500 [3 per cell]